1.
A relaxed Rb2AlSn2 crystal. Source: Alexandria, functional PBE-GGA.

Lattice parameters (Å, degrees): 10.5782 10.5782 3.4858 90.00 90.00 90.00
Last column: nearest neighbours and their distance in Å.
Element x y z (fractional)
Rb 0.2004 0.2996 0.0000  2 Rb 3.49, 6 Sn 3.52-3.75
Rb 0.2996 0.7996 0.0000  2 Rb 3.49, 6 Sn 3.52-3.75
Rb 0.7004 0.2004 0.0000  2 Rb 3.49, 6 Sn 3.52-3.75
Rb 0.7996 0.7004 0.0000  2 Rb 3.49, 6 Sn 3.52-3.75
Al 0.0000 0.0000 0.5000  2 Al 3.49
Al 0.5000 0.5000 0.5000  2 Al 3.49
Sn 0.0950 0.5950 0.5000  1 Sn 2.84
Sn 0.4050 0.0950 0.5000  1 Sn 2.84
Sn 0.5950 0.9050 0.5000  1 Sn 2.84
Sn 0.9050 0.4050 0.5000  1 Sn 2.84

Results
Its density of states at the Fermi level is 0.705 states/eV/atom. For the total energy, the calculation gives -2.431 eV per atom. For the density, the calculation gives 3.7 g/cm³. As for the formation energy from the elements: 147.3 kJ/mol of formula units.

=====

2.
A relaxed LaB2Ir crystal. Source: Alexandria, functional PBE-GGA.

Lattice parameters (Å, degrees): 4.3223 4.3223 4.3223 60.00 60.00 60.00
Last column: nearest neighbours and their distance in Å.
Element x y z (fractional)
La 0.0000 0.0000 0.0000  8 B 2.65
B 0.2500 0.2500 0.2500  4 La 2.65, 4 Ir 2.65
B 0.7500 0.7500 0.7500  4 La 2.65, 4 Ir 2.65
Ir 0.5000 0.5000 0.5000  8 B 2.65

Results
Its density of states at the Fermi level is 0.312 states/eV/atom. For the total energy, the calculation gives -6.414 eV per atom. For the density, the calculation gives 10.3 g/cm³. Its energy relative to the lowest polymorph listed for this composition is 79.3 kJ/mol of atoms. As for the formation energy from the elements: 143.4 kJ/mol of formula units.

=====

3.
A relaxed Pm3PtI7 crystal. Source: Alexandria, functional PBE-GGA.

Lattice parameters (Å, degrees): 8.7951 8.7951 7.4863 90.00 90.00 120.00
Last column: nearest neighbours and their distance in Å.
Element x y z (fractional)
Pm 0.0232 0.5116 0.0000  1 Pt 2.81, 4 I 3.12-3.14
Pm 0.4884 0.5116 0.0000  1 Pt 2.81, 4 I 3.12-3.14
Pm 0.4884 0.9768 0.0000  1 Pt 2.81, 4 I 3.12-3.14
Pt 0.3333 0.6667 0.7962  3 Pm 2.81
I 0.1677 0.3354 0.2577  2 Pm 3.12
I 0.1677 0.8323 0.2577  2 Pm 3.12
I 0.3350 0.1675 0.7707  2 Pm 3.14
I 0.6646 0.8323 0.2577  2 Pm 3.12
I 0.6667 0.3333 0.2450  3 Pm 3.28
I 0.8325 0.1675 0.7707  2 Pm 3.14
I 0.8325 0.6650 0.7707  2 Pm 3.14

Results
Its density of states at the Fermi level is 0.000 states/eV/atom. The value obtained for the raw formation energy is -1264 meV/atom. For the total energy, the calculation gives -4.096 eV per atom. For the density, the calculation gives 5.0 g/cm³.

=====

4.
A relaxed Be2InW crystal. Source: Alexandria, functional PBE-GGA.

Lattice parameters (Å, degrees): 4.3622 4.3622 4.3622 60.00 60.00 60.00
Last column: nearest neighbours and their distance in Å.
Element x y z (fractional)
Be 0.0000 0.0000 0.0000  4 W 2.67, 4 Be 2.67
Be 0.2500 0.2500 0.2500  4 In 2.67, 4 Be 2.67
In 0.5000 0.5000 0.5000  4 W 2.67, 4 Be 2.67
W 0.7500 0.7500 0.7500  4 Be 2.67, 4 In 2.67

Results
Its density of states at the Fermi level is 0.971 states/eV/atom. For the total energy, the calculation gives -4.838 eV per atom. For the density, the calculation gives 9.0 g/cm³. As for the formation energy from the elements: 365.9 kJ/mol of formula units.

=====

Which value of total energy does entry 4 give?
-4.838 eV per atom

=====

Which formula does entry 4 have?
Be2InW

=====

Which of these has the lowest total energy?
LaB2Ir